YMoRu2F after structural relaxation. Source: the Alexandria database, functional PBE+U.

```
YMoRu2F
1.0
4.8892 0.0000 0.0000
0.0000 4.8892 0.0000
0.0000 0.0000 6.1302
Y Mo Ru F
1 1 2 1
Cartesian
0.0000 0.0000 0.0000 Y
0.0000 0.0000 3.0651 Mo
0.0000 2.4446 0.0000 Ru
2.4446 0.0000 0.0000 Ru
2.4446 2.4446 3.0651 F
```

## Properties
mass density = 4.6 g/cm³
symmetry = P4/mmm
energy = -24.78 eV/cell